{
  "formula": "Pu3Sb4Rh2",
  "functional": "PBE",
  "state": "relaxed",
  "de_polymorph_ev_per_atom": 0.000,
  "raw_formation_energy_ev_per_atom": -0.583,
  "space_group": "C2/m (12)",
  "lattice": [[4.581, 0.000, 0.000], [-2.291, 5.779, -0.429], [0.000, -2.860, 8.410]],
  "species": ["Pu", "Pu", "Pu", "Sb", "Sb", "Sb", "Sb", "Rh", "Rh"],
  "frac_coords": [[0.629, 0.258, 0.688], [0.000, 0.000, 0.000], [0.371, 0.742, 0.312], [0.701, 0.401, 0.086], [0.299, 0.599, 0.914], [0.919, 0.839, 0.616], [0.081, 0.161, 0.384], [0.691, 0.382, 0.381], [0.309, 0.618, 0.619]]
}

{
  "formula": "Pu3Sb4Rh3",
  "functional": "PBE",
  "state": "relaxed",
  "raw_formation_energy_ev_per_atom": -0.602,
  "space_group": "I-43d (220)",
  "lattice": [[7.930, 0.000, -2.804], [-3.965, 6.868, -2.804], [0.000, 0.000, 8.411]],
  "species": ["Pu", "Pu", "Pu", "Pu", "Pu", "Pu", "Sb", "Sb", "Sb", "Sb", "Sb", "Sb", "Sb", "Sb", "Rh", "Rh", "Rh", "Rh", "Rh", "Rh"],
  "frac_coords": [[0.625, 0.750, 0.875], [0.875, 0.250, 0.625], [0.125, 0.375, 0.250], [0.375, 0.125, 0.750], [0.250, 0.875, 0.125], [0.750, 0.625, 0.375], [0.000, 0.000, 0.335], [0.500, 0.335, 0.500], [0.665, 0.165, 0.165], [0.000, 0.000, 0.835], [0.835, 0.500, 0.000], [0.500, 0.835, 0.500], [0.335, 0.500, 0.000], [0.165, 0.665, 0.665], [0.125, 0.750, 0.375], [0.375, 0.250, 0.125], [0.625, 0.875, 0.250], [0.875, 0.625, 0.750], [0.250, 0.375, 0.625], [0.750, 0.125, 0.875]]
}

{
  "formula": "Pu3Sb4Rh8",
  "functional": "PBE",
  "state": "relaxed",
  "raw_formation_energy_ev_per_atom": -0.513,
  "space_group": "Fm-3m (225)",
  "lattice": [[3.963, -8.195, 1.544], [2.147, -5.500, -7.099], [8.844, -1.354, -2.281]],
  "species": ["Pu", "Pu", "Pu", "Pu", "Pu", "Pu", "Sb", "Sb", "Sb", "Sb", "Sb", "Sb", "Sb", "Sb", "Rh", "Rh", "Rh", "Rh", "Rh", "Rh", "Rh", "Rh", "Rh", "Rh", "Rh", "Rh", "Rh", "Rh", "Rh", "Rh"],
  "frac_coords": [[0.728, 0.728, 0.272], [0.272, 0.272, 0.728], [0.728, 0.272, 0.272], [0.272, 0.728, 0.728], [0.728, 0.272, 0.728], [0.272, 0.728, 0.272], [0.000, 0.000, 0.000], [0.500, 0.500, 0.000], [0.000, 0.000, 0.500], [0.500, 0.000, 0.000], [0.000, 0.500, 0.500], [0.500, 0.000, 0.500], [0.000, 0.500, 0.000], [0.500, 0.500, 0.500], [0.638, 0.121, 0.121], [0.362, 0.879, 0.879], [0.121, 0.121, 0.638], [0.121, 0.121, 0.121], [0.879, 0.879, 0.362], [0.879, 0.879, 0.879], [0.121, 0.638, 0.121], [0.879, 0.362, 0.879], [0.997, 0.334, 0.334], [0.003, 0.666, 0.666], [0.334, 0.334, 0.997], [0.334, 0.334, 0.334], [0.666, 0.666, 0.003], [0.666, 0.666, 0.666], [0.334, 0.997, 0.334], [0.666, 0.003, 0.666]]
}

{
  "formula": "Pu3Sb3Rh2",
  "functional": "PBE",
  "state": "relaxed",
  "raw_formation_energy_ev_per_atom": -0.627,
  "space_group": "Cmcm (63)",
  "lattice": [[4.585, 0.000, 0.000], [-2.293, 5.458, 0.000], [0.000, 0.000, 15.009]],
  "species": ["Pu", "Pu", "Pu", "Pu", "Pu", "Pu", "Sb", "Sb", "Sb", "Sb", "Sb", "Sb", "Rh", "Rh", "Rh", "Rh"],
  "frac_coords": [[0.928, 0.855, 0.390], [0.072, 0.145, 0.890], [0.928, 0.855, 0.110], [0.072, 0.145, 0.610], [0.652, 0.304, 0.250], [0.348, 0.696, 0.750], [0.634, 0.267, 0.465], [0.366, 0.733, 0.965], [0.634, 0.267, 0.035], [0.366, 0.733, 0.535], [0.358, 0.717, 0.250], [0.642, 0.283, 0.750], [0.797, 0.593, 0.892], [0.203, 0.407, 0.392], [0.797, 0.593, 0.608], [0.203, 0.407, 0.108]]
}

{
  "formula": "Pu3Sb5Rh6",
  "functional": "PBE",
  "state": "relaxed",
  "raw_formation_energy_ev_per_atom": -0.598,
  "space_group": "Pmmn (59)",
  "lattice": [[4.243, 0.000, 0.000], [0.000, 10.250, 0.000], [0.000, 0.000, 13.285]],
  "species": ["Pu", "Pu", "Pu", "Pu", "Pu", "Pu", "Sb", "Sb", "Sb", "Sb", "Sb", "Sb", "Sb", "Sb", "Sb", "Sb", "Rh", "Rh", "Rh", "Rh", "Rh", "Rh", "Rh", "Rh", "Rh", "Rh", "Rh", "Rh"],
  "frac_coords": [[0.000, 0.250, 0.674], [0.500, 0.750, 0.174], [0.500, 0.750, 0.826], [0.000, 0.262, 0.000], [0.500, 0.738, 0.500], [0.000, 0.250, 0.326], [0.000, 0.529, 0.878], [0.000, 0.856, 0.663], [0.000, 0.837, 0.000], [0.500, 0.471, 0.622], [0.500, 0.163, 0.500], [0.000, 0.529, 0.122], [0.500, 0.471, 0.378], [0.000, 0.856, 0.337], [0.500, 0.144, 0.837], [0.500, 0.144, 0.163], [0.000, 0.995, 0.834], [0.500, 0.005, 0.666], [0.500, 0.395, 0.809], [0.500, 0.502, 0.000], [0.000, 0.498, 0.500], [0.000, 0.605, 0.691], [0.000, 0.605, 0.309], [0.500, 0.995, 0.000], [0.000, 0.995, 0.166], [0.500, 0.395, 0.191], [0.000, 0.005, 0.500], [0.500, 0.005, 0.334]]
}

{
  "formula": "PuSbRh2",
  "functional": "PBE",
  "state": "relaxed",
  "raw_formation_energy_ev_per_atom": -0.399,
  "space_group": "P4/mmm (123)",
  "lattice": [[3.580, 0.000, 0.000], [0.000, 4.615, 0.000], [0.000, 0.000, 4.615]],
  "species": ["Sb", "Rh", "Rh", "Pu"],
  "frac_coords": [[0.500, 0.000, 0.000], [0.000, 0.000, 0.500], [0.000, 0.500, 0.000], [0.500, 0.500, 0.500]]
}

{
  "formula": "Pu3SbRh3",
  "functional": "PBE",
  "state": "relaxed",
  "raw_formation_energy_ev_per_atom": -0.481,
  "space_group": "Cmcm (63)",
  "lattice": [[-4.304, 1.336, -0.377], [2.272, -1.660, -4.706], [-4.038, -12.333, 2.401]],
  "species": ["Pu", "Pu", "Pu", "Pu", "Pu", "Pu", "Sb", "Sb", "Rh", "Rh", "Rh", "Rh", "Rh", "Rh"],
  "frac_coords": [[0.197, 0.394, 0.893], [0.803, 0.606, 0.107], [0.197, 0.394, 0.607], [0.803, 0.606, 0.393], [0.473, 0.946, 0.750], [0.527, 0.054, 0.250], [0.500, 0.000, 0.000], [0.500, 0.000, 0.500], [0.907, 0.815, 0.907], [0.093, 0.185, 0.093], [0.907, 0.815, 0.593], [0.093, 0.185, 0.407], [0.741, 0.482, 0.750], [0.259, 0.518, 0.250]]
}

{
  "formula": "PuSb2Rh",
  "functional": "PBE",
  "state": "relaxed",
  "de_polymorph_ev_per_atom": 0.000,
  "raw_formation_energy_ev_per_atom": -0.596,
  "space_group": "P4/nmm (129)",
  "lattice": [[4.334, 0.000, 0.000], [0.000, 4.334, 0.000], [0.000, 0.000, 9.809]],
  "species": ["Pu", "Pu", "Sb", "Sb", "Sb", "Sb", "Rh", "Rh"],
  "frac_coords": [[0.000, 0.500, 0.252], [0.500, 0.000, 0.748], [0.500, 0.000, 0.162], [0.000, 0.500, 0.838], [0.000, 0.000, 0.500], [0.500, 0.500, 0.500], [0.500, 0.500, 0.000], [0.000, 0.000, 0.000]]
}

{
  "formula": "Pu2Sb2Rh",
  "functional": "PBE",
  "state": "relaxed",
  "raw_formation_energy_ev_per_atom": -0.612,
  "space_group": "C2/m (12)",
  "lattice": [[-2.499, -3.702, -0.024], [3.232, -4.884, 1.253], [-3.002, -0.733, 9.655]],
  "species": ["Pu", "Pu", "Pu", "Pu", "Sb", "Sb", "Sb", "Sb", "Rh", "Rh"],
  "frac_coords": [[0.348, 0.636, 0.668], [0.041, 0.798, 0.120], [0.652, 0.364, 0.332], [0.959, 0.202, 0.880], [0.891, 0.770, 0.449], [0.323, 0.233, 0.120], [0.109, 0.230, 0.551], [0.677, 0.767, 0.880], [0.377, 0.915, 0.332], [0.623, 0.085, 0.668]]
}

{
  "formula": "Pu2ScSb3Rh4",
  "functional": "PBE",
  "state": "relaxed",
  "raw_formation_energy_ev_per_atom": -0.677,
  "space_group": "P-4m2 (115)",
  "lattice": [[-4.010, 0.463, 1.354], [0.679, -2.930, 3.014], [3.426, 8.308, 7.303]],
  "species": ["Pu", "Pu", "Sc", "Sb", "Sb", "Sb", "Rh", "Rh", "Rh", "Rh"],
  "frac_coords": [[0.500, 0.000, 0.247], [0.000, 0.500, 0.753], [0.500, 0.500, 0.500], [0.000, 0.000, 0.500], [0.500, 0.000, 0.867], [0.000, 0.500, 0.133], [0.500, 0.500, 0.000], [0.000, 0.000, 0.000], [0.500, 0.000, 0.644], [0.000, 0.500, 0.356]]
}

{
  "formula": "PuSbRhSe",
  "functional": "PBE",
  "state": "relaxed",
  "raw_formation_energy_ev_per_atom": -0.792,
  "space_group": "P4/nmm (129)",
  "lattice": [[-2.720, -2.252, -2.705], [-2.381, -1.341, 3.510], [-5.236, 7.258, -0.778]],
  "species": ["Pu", "Pu", "Sb", "Sb", "Rh", "Rh", "Se", "Se"],
  "frac_coords": [[0.500, 0.000, 0.707], [0.000, 0.500, 0.293], [0.000, 0.500, 0.839], [0.500, 0.000, 0.161], [0.500, 0.500, 0.000], [0.000, 0.000, 0.000], [0.000, 0.000, 0.500], [0.500, 0.500, 0.500]]
}

{
  "formula": "Pu3Si2SbRh9",
  "functional": "PBE",
  "state": "relaxed",
  "raw_formation_energy_ev_per_atom": -0.361,
  "space_group": "P-3m1 (164)",
  "lattice": [[-4.739, 4.073, -0.664], [-1.059, -5.675, 2.482], [1.647, 3.236, 8.101]],
  "species": ["Pu", "Pu", "Pu", "Si", "Si", "Sb", "Rh", "Rh", "Rh", "Rh", "Rh", "Rh", "Rh", "Rh", "Rh"],
  "frac_coords": [[0.333, 0.667, 0.726], [0.000, 0.000, 0.000], [0.667, 0.333, 0.274], [0.333, 0.667, 0.167], [0.667, 0.333, 0.833], [0.000, 0.000, 0.500], [0.856, 0.144, 0.738], [0.856, 0.712, 0.738], [0.288, 0.144, 0.738], [0.712, 0.856, 0.262], [0.144, 0.288, 0.262], [0.144, 0.856, 0.262], [0.500, 0.000, 0.000], [0.000, 0.500, 0.000], [0.500, 0.500, 0.000]]
}

{
  "formula": "Sm2PuSb3Rh4",
  "functional": "PBE",
  "state": "relaxed",
  "raw_formation_energy_ev_per_atom": -0.756,
  "space_group": "P-4m2 (115)",
  "lattice": [[4.408, 0.000, 0.000], [0.000, 4.408, 0.000], [0.000, 0.000, 11.340]],
  "species": ["Sm", "Sm", "Pu", "Sb", "Sb", "Sb", "Rh", "Rh", "Rh", "Rh"],
  "frac_coords": [[0.500, 0.000, 0.225], [0.000, 0.500, 0.775], [0.500, 0.500, 0.500], [0.000, 0.000, 0.500], [0.500, 0.000, 0.870], [0.000, 0.500, 0.130], [0.500, 0.500, 0.000], [0.000, 0.000, 0.000], [0.500, 0.000, 0.644], [0.000, 0.500, 0.356]]
}

{
  "formula": "Sr2PuSb3Rh4",
  "functional": "PBE",
  "state": "relaxed",
  "raw_formation_energy_ev_per_atom": -0.702,
  "space_group": "P-4m2 (115)",
  "lattice": [[-2.903, 2.284, 2.635], [-1.116, -3.857, 2.114], [8.139, 1.735, 7.461]],
  "species": ["Sr", "Sr", "Pu", "Sb", "Sb", "Sb", "Rh", "Rh", "Rh", "Rh"],
  "frac_coords": [[0.500, 0.000, 0.236], [0.000, 0.500, 0.764], [0.500, 0.500, 0.500], [0.000, 0.000, 0.500], [0.500, 0.000, 0.874], [0.000, 0.500, 0.126], [0.500, 0.500, 0.000], [0.000, 0.000, 0.000], [0.500, 0.000, 0.640], [0.000, 0.500, 0.360]]
}

{
  "formula": "Sr2PuSb4Rh3",
  "functional": "PBE",
  "state": "relaxed",
  "raw_formation_energy_ev_per_atom": -0.622,
  "space_group": "P-4m2 (115)",
  "lattice": [[4.551, 0.000, 0.000], [0.000, 4.551, 0.000], [0.000, 0.000, 12.085]],
  "species": ["Sr", "Sr", "Pu", "Sb", "Sb", "Sb", "Sb", "Rh", "Rh", "Rh"],
  "frac_coords": [[0.500, 0.000, 0.231], [0.000, 0.500, 0.769], [0.500, 0.500, 0.500], [0.500, 0.500, 0.000], [0.000, 0.000, 0.000], [0.500, 0.000, 0.666], [0.000, 0.500, 0.334], [0.000, 0.000, 0.500], [0.500, 0.000, 0.887], [0.000, 0.500, 0.113]]
}

{
  "formula": "PuThSbRh",
  "functional": "PBE",
  "state": "relaxed",
  "raw_formation_energy_ev_per_atom": -0.473,
  "space_group": "P4/nmm (129)",
  "lattice": [[4.211, 0.000, 0.000], [0.000, 4.211, 0.000], [0.000, 0.000, 11.273]],
  "species": ["Pu", "Pu", "Th", "Th", "Sb", "Sb", "Rh", "Rh"],
  "frac_coords": [[0.000, 0.000, 0.500], [0.500, 0.500, 0.500], [0.000, 0.500, 0.779], [0.500, 0.000, 0.221], [0.500, 0.000, 0.923], [0.000, 0.500, 0.077], [0.000, 0.500, 0.315], [0.500, 0.000, 0.685]]
}

{
  "formula": "PuThSb2Rh5",
  "functional": "PBE",
  "state": "relaxed",
  "raw_formation_energy_ev_per_atom": -0.483,
  "space_group": "P4/mmm (123)",
  "lattice": [[4.382, 0.000, 0.000], [0.000, 4.382, 0.000], [0.000, 0.000, 9.167]],
  "species": ["Pu", "Th", "Sb", "Sb", "Rh", "Rh", "Rh", "Rh", "Rh"],
  "frac_coords": [[0.000, 0.000, 0.500], [0.000, 0.000, 0.000], [0.500, 0.500, 0.152], [0.500, 0.500, 0.848], [0.000, 0.500, 0.294], [0.500, 0.000, 0.294], [0.000, 0.500, 0.706], [0.500, 0.000, 0.706], [0.500, 0.500, 0.500]]
}

{
  "formula": "Pu5ScRh6",
  "functional": "PBE",
  "state": "relaxed",
  "space_group": "Cmmm (65)",
  "formation_enthalpy_0k_ev_per_fu": -6.09,
  "lattice": [[-1.583, 3.896, -2.189], [-6.230, -0.991, 2.741], [1.086, 5.913, 4.605]],
  "species": ["Sc", "Rh", "Rh", "Rh", "Rh", "Rh", "Rh", "Pu", "Pu", "Pu", "Pu", "Pu"],
  "frac_coords": [[0.000, 0.000, 0.000], [0.840, 0.759, 0.319], [0.840, 0.241, 0.319], [0.500, 0.238, 0.000], [0.500, 0.762, 0.000], [0.160, 0.759, 0.681], [0.160, 0.241, 0.681], [0.670, 0.500, 0.660], [0.335, 0.000, 0.330], [0.000, 0.500, 0.000], [0.665, 0.000, 0.670], [0.330, 0.500, 0.340]]
}

{
  "formula": "PuScRh",
  "functional": "PBE",
  "state": "relaxed",
  "space_group": "I4mm (107)",
  "formation_enthalpy_0k_ev_per_fu": -1.21,
  "lattice": [[3.260, 0.000, 0.000], [0.000, 3.260, 0.000], [-1.630, -1.630, 6.060]],
  "species": ["Sc", "Rh", "Pu"],
  "frac_coords": [[0.250, 0.250, 0.501], [0.630, 0.630, 0.260], [0.970, 0.970, 0.939]]
}

{
  "formula": "PuSc4Rh5",
  "functional": "PBE",
  "state": "relaxed",
  "space_group": "P4/mmm (123)",
  "formation_enthalpy_0k_ev_per_fu": -8.85,
  "lattice": [[3.203, 0.000, 0.000], [0.000, 3.203, 0.000], [0.000, 0.000, 17.003]],
  "species": ["Pu", "Sc", "Sc", "Sc", "Sc", "Rh", "Rh", "Rh", "Rh", "Rh"],
  "frac_coords": [[0.000, 0.000, 0.000], [0.000, 0.000, 0.210], [0.000, 0.000, 0.403], [0.000, 0.000, 0.597], [0.000, 0.000, 0.790], [0.500, 0.500, 0.117], [0.500, 0.500, 0.308], [0.500, 0.500, 0.500], [0.500, 0.500, 0.692], [0.500, 0.500, 0.883]]
}